Record 1
YFe2Cu | the Alexandria database | PBEsol | relaxed; DFT total energy = -6.987 eV per atom; E_form = 0.284 eV/atom; magnetization = 4.498 Bohr magnetons per cell
1.0
3.798 0.000 0.000
0.000 3.798 0.000
-1.899 -1.899 4.119
Cu Fe Y
1 2 1
direct
0.000 0.000 0.000
0.750 0.250 0.500
0.250 0.750 0.500
0.500 0.500 0.000

***

Record 2
YFe2Cu | the Alexandria database | PBEsol | relaxed; DFT total energy = -6.904 eV per atom; E_form = 0.367 eV/atom; magnetization = 4.387 Bohr magnetons per cell
1.0
3.062 0.000 0.010
0.000 4.340 0.000
-0.805 0.000 4.674
Cu Fe Y
1 2 1
direct
0.000 0.500 0.500
0.828 0.000 0.698
0.172 0.000 0.302
0.500 0.500 0.000

***

Record 3
Y2FeCu | the Alexandria database | PBEsol | relaxed; DFT total energy = -6.464 eV per atom; E_form = 0.271 eV/atom; magnetization = 0.776 Bohr magnetons per cell
1.0
3.298 0.000 0.000
-1.649 3.347 -0.016
0.000 -1.455 7.437
Cu Fe Y
1 1 2
direct
0.000 0.000 0.500
0.500 0.000 0.000
0.753 0.506 0.769
0.247 0.494 0.231

***

Record 4
Y2FeCu | the Alexandria database | PBEsol | relaxed; DFT total energy = -6.593 eV per atom; E_form = 0.142 eV/atom; magnetization = 2.158 Bohr magnetons per cell
1.0
-1.371 2.367 1.810
-2.754 -1.768 0.226
2.624 -3.283 6.282
Cu Fe Y
1 1 2
direct
0.000 0.000 0.557
0.500 0.500 0.692
0.000 0.000 0.932
0.500 0.500 0.319

***

Record 5
ZnFe2Cu | the Alexandria database | PBEsol | relaxed; DFT total energy = -5.904 eV per atom; E_form = 0.057 eV/atom; magnetization = 4.643 Bohr magnetons per cell
1.0
-2.275 0.418 0.843
0.595 -2.304 0.632
3.048 2.680 6.895
Zn Fe Cu
1 2 1
direct
0.000 0.000 0.502
0.000 0.000 0.996
0.500 0.500 0.757
0.500 0.500 0.245

***

Record 6
ZnFe2Cu | the Alexandria database | PBEsol | relaxed; DFT total energy = -5.843 eV per atom; E_form = 0.117 eV/atom; magnetization = 4.436 Bohr magnetons per cell
1.0
-1.525 3.636 0.818
-2.023 0.611 3.428
1.619 2.252 2.919
Cu Fe Zn
1 2 1
direct
0.500 0.500 0.500
0.000 0.000 0.000
0.750 0.750 0.750
0.250 0.250 0.250

***

Look up the magnetization of the first one. 4.498 Bohr magnetons per cell

***

Which of these has the lowest DFT total energy? number 1

***

What is the formula in the first record? YFe2Cu

***

The lowest magnetization belongs to which entry? number 3